Record 1
This record from the Alexandria database describes a relaxed PmCd3Sn3 crystal. The functional is GGA-PBE.

Lattice parameters (Å, degrees): 6.998 6.998 7.777 89.99 89.99 93.40
Atoms (fractional coordinates):
Pm 0.754 0.754 0.001
Cd 0.279 0.721 0.500
Sn 0.500 0.000 0.737
Pm 0.246 0.246 0.999
Cd 0.721 0.279 0.500
Cd 0.692 0.692 0.499
Sn 0.500 0.000 0.263
Cd 0.308 0.308 0.501
Sn 0.000 0.000 0.299
Cd 0.727 0.273 0.000
Sn 0.000 0.500 0.737
Cd 0.273 0.727 0.000
Sn 0.000 0.000 0.701
Sn 0.000 0.500 0.263

Output
- DOS(E_F) (states/eV/f.u.) = 3.7
- size of the total moment (μB/f.u.) = 0.00
- calculated formation energy (eV/f.u.) = -0.78
- offset from the most stable computed form (eV/atom) = 0.000
- VASP energy (eV/atom) = -2.897
- crystal system = monoclinic

***

Record 2
This record from the Alexandria database describes a relaxed Pm2CdSn9 crystal. The functional is GGA-PBE.

Lattice parameters (Å, degrees): 4.670 4.670 14.829 90.00 90.00 90.00
Atoms (fractional coordinates):
Sn 0.500 0.500 0.000
Pm 0.000 0.000 0.659
Sn 0.500 0.000 0.165
Sn 0.500 0.000 0.835
Sn 0.000 0.500 0.835
Pm 0.000 0.000 0.341
Sn 0.000 0.500 0.165
Cd 0.000 0.000 0.000
Sn 0.500 0.500 0.671
Sn 0.500 0.000 0.500
Sn 0.500 0.500 0.329
Sn 0.000 0.500 0.500

Output
- DOS(E_F) (states/eV/f.u.) = 3.9
- size of the total moment (μB/f.u.) = 0.00
- calculated formation energy (eV/f.u.) = -3.62
- VASP energy (eV/atom) = -4.171
- crystal system = tetragonal

***

Record 3
This record from the Alexandria database describes a relaxed Pm6CdSn8 crystal. The functional is GGA-PBE.

Lattice parameters (Å, degrees): 6.415 9.135 9.135 120.00 90.00 90.00
Atoms (fractional coordinates):
Pm 0.736 0.319 0.928
Pm 0.264 0.391 0.319
Pm 0.736 0.609 0.681
Sn 0.773 0.343 0.283
Pm 0.264 0.681 0.072
Sn 0.227 0.657 0.717
Sn 0.227 0.060 0.343
Sn 0.402 0.333 0.667
Pm 0.736 0.072 0.391
Cd 0.500 0.000 0.000
Sn 0.598 0.667 0.333
Pm 0.264 0.928 0.609
Sn 0.773 0.717 0.060
Sn 0.227 0.283 0.940
Sn 0.773 0.940 0.657

Output
- DOS(E_F) (states/eV/f.u.) = 3.5
- size of the total moment (μB/f.u.) = 0.00
- calculated formation energy (eV/f.u.) = -8.12
- VASP energy (eV/atom) = -4.637
- crystal system = trigonal